Entry from Alexandria: an optimized crystal structure of BaGeAs2Se (GGA-PBE).

```
data_BaGeAs2Se
_cell_length_a 5.732
_cell_length_b 5.732
_cell_length_c 5.883
_cell_angle_alpha 90.00
_cell_angle_beta 90.00
_cell_angle_gamma 90.00
_space_group_name_H-M_alt 'P 4/m m m'
_space_group_IT_number 123
_space_group_name_Hall '-P 4 2'
loop_
_atom_site_label
_atom_site_fract_x
_atom_site_fract_y
_atom_site_fract_z
Ba1 0.000 0.000 0.000
Ge1 0.500 0.500 0.500
As1 0.000 0.500 0.000
Se1 0.000 0.000 0.500
```

Values from the calculation:
Crystal system ... tetragonal
Formation energy (no corrections) ... 1048 meV per atom